This record from Alexandria describes a geometry-optimized HgSb structure. The functional is PBE. Values from VASP.

Values from the calculation:
formation energy without anion corrections: 0.196 eV/atom
energy above the most stable polymorph in this dataset: 167 meV/atom
magnetic moment: 0.00 μB per cell

Structure (Quantum ESPRESSO input):
```
&SYSTEM
  ibrav = 0, nat = 4, ntyp = 2
/
ATOMIC_SPECIES
Hg 200.59 Hg.upf
Sb 121.76 Sb.upf
CELL_PARAMETERS angstrom
-1.234 5.115 0.987
-5.126 1.539 0.138
-2.263 1.357 4.658
ATOMIC_POSITIONS crystal
Hg 0.000 0.000 0.000
Hg 0.250 0.250 0.250
Sb 0.500 0.500 0.500
Sb 0.750 0.750 0.750
```

This record from Alexandria describes a geometry-optimized Tb8CeTm5 structure. The functional is PBE. Values from VASP.

Values from the calculation:
formation energy from the elements: 0.269 eV per atom
magnetic moment: 1.35 μB per cell

Structure (Quantum ESPRESSO input):
```
&SYSTEM
  ibrav = 0, nat = 14, ntyp = 3
/
ATOMIC_SPECIES
Tb 158.93 Tb.upf
Ce 140.12 Ce.upf
Tm 168.93 Tm.upf
CELL_PARAMETERS angstrom
8.025 0.000 -2.428
-4.161 6.643 -2.976
0.297 0.000 8.379
ATOMIC_POSITIONS crystal
Tb 0.166 0.735 0.073
Tb 0.927 0.093 0.662
Tb 0.720 0.252 0.326
Tb 0.674 0.394 0.926
Tb 0.532 0.606 0.280
Tb 0.569 0.907 0.834
Tb 0.338 0.265 0.431
Tb 0.074 0.748 0.468
Ce 0.250 0.500 0.750
Tm 0.040 0.320 0.135
Tm 0.865 0.905 0.185
Tm 0.815 0.680 0.720
Tm 0.500 0.000 0.500
Tm 0.280 0.095 0.960
```

What did the second record say?
This record from Alexandria describes a geometry-optimized Tb8CeTm5 structure. The functional is PBE. Values from VASP.

Values from the calculation:
formation energy from the elements: 0.269 eV per atom
magnetic moment: 1.35 μB per cell

Structure (Quantum ESPRESSO input):
```
&SYSTEM
  ibrav = 0, nat = 14, ntyp = 3
/
ATOMIC_SPECIES
Tb 158.93 Tb.upf
Ce 140.12 Ce.upf
Tm 168.93 Tm.upf
CELL_PARAMETERS angstrom
8.025 0.000 -2.428
-4.161 6.643 -2.976
0.297 0.000 8.379
ATOMIC_POSITIONS crystal
Tb 0.166 0.735 0.073
Tb 0.927 0.093 0.662
Tb 0.720 0.252 0.326
Tb 0.674 0.394 0.926
Tb 0.532 0.606 0.280
Tb 0.569 0.907 0.834
Tb 0.338 0.265 0.431
Tb 0.074 0.748 0.468
Ce 0.250 0.500 0.750
Tm 0.040 0.320 0.135
Tm 0.865 0.905 0.185
Tm 0.815 0.680 0.720
Tm 0.500 0.000 0.500
Tm 0.280 0.095 0.960
```

Q: Which of these has the lowest magnetic moment?
A: HgSb